# KLi2Mg

KLi2Mg after structural relaxation (PBE-GGA, the Alexandria database).

Output
energy of formation from the pure elements: 19.4 kJ per mole of atoms
space group: R-3m, No. 166

Cell: 11.363 11.363 11.363 Å, 17.95 17.95 17.95°
Positions (direct):
K: 0.000 0.000 0.000
Li: 0.237 0.237 0.237
Li: 0.763 0.763 0.763
Mg: 0.500 0.500 0.500

---

# POsRuN

POsRuN after structural relaxation (PBE-GGA, the Alexandria database).

Output
distance to the lowest polymorph of the same formula: 0.2099 eV per atom
space group: Cm, No. 8
E_form (uncorrected): 0.26 eV/atom

Cell: 4.016 4.016 5.085 Å, 112.68 112.68 42.48°
Positions (direct):
P: 0.000 0.000 0.000
Os: 0.240 0.240 0.831
Ru: 0.402 0.402 0.432
N: 0.085 0.085 0.376

---

# Tm3Si2Ir5

Tm3Si2Ir5 after structural relaxation (PBE-GGA, the Alexandria database).

Output
space group: P4/mbm, No. 127
E_form (uncorrected): -0.96 eV/atom

Cell: 9.818 9.818 3.575 Å, 90.00 90.00 90.00°
Positions (direct):
Tm: 0.000 0.000 0.000
Tm: 0.174 0.326 0.000
Tm: 0.326 0.826 0.000
Tm: 0.500 0.500 0.000
Tm: 0.674 0.174 0.000
Tm: 0.826 0.674 0.000
Si: 0.124 0.624 0.000
Si: 0.376 0.124 0.000
Si: 0.624 0.876 0.000
Si: 0.876 0.376 0.000
Ir: 0.000 0.500 0.500
Ir: 0.069 0.781 0.500
Ir: 0.219 0.069 0.500
Ir: 0.281 0.569 0.500
Ir: 0.431 0.281 0.500
Ir: 0.500 0.000 0.500
Ir: 0.569 0.719 0.500
Ir: 0.719 0.431 0.500
Ir: 0.781 0.931 0.500
Ir: 0.931 0.219 0.500

---

# LaTeAu2

LaTeAu2 after structural relaxation (PBE-GGA, the Alexandria database).

Output
space group: I-42d, No. 122
E_form (uncorrected): -0.59 eV/atom

Cell: 6.622 6.622 6.622 Å, 102.80 102.80 123.84°
Positions (direct):
La: 0.000 0.000 0.000
La: 0.750 0.250 0.500
Te: 0.250 0.750 0.500
Te: 0.500 0.500 0.000
Au: 0.146 0.625 0.021
Au: 0.375 0.396 0.521
Au: 0.604 0.125 0.979
Au: 0.875 0.854 0.479

---

# RbZn2Ag

RbZn2Ag after structural relaxation (PBE-GGA, the Alexandria database).

Output
energy of formation from the pure elements: 12.8 kJ per mole of atoms
distance to the lowest polymorph of the same formula: 0.1493 eV per atom
space group: I4_1/amd, No. 141

Cell: 9.585 9.585 9.585 Å, 146.60 146.60 47.96°
Positions (direct):
Rb: 0.375 0.625 0.750
Rb: 0.625 0.375 0.250
Zn: 0.000 0.000 0.000
Zn: 0.000 0.000 0.500
Zn: 0.000 0.500 0.000
Zn: 0.500 0.000 0.500
Ag: 0.125 0.875 0.250
Ag: 0.875 0.125 0.750

---

# ZnInP2Os

ZnInP2Os after structural relaxation (PBE-GGA, the Alexandria database).

Output
energy of formation from the pure elements: 121.4 kJ per mole of atoms
space group: P4/mmm, No. 123

Cell: 4.480 4.480 4.861 Å, 90.00 90.00 90.00°
Positions (direct):
Zn: 0.000 0.000 0.000
In: 0.500 0.500 0.500
P: 0.000 0.500 0.000
P: 0.500 0.000 0.000
Os: 0.000 0.000 0.500

---

# NiOsRu2

NiOsRu2 after structural relaxation (PBE-GGA, the Alexandria database).

Output
energy of formation from the pure elements: 46.8 kJ per mole of atoms
distance to the lowest polymorph of the same formula: 0.4017 eV per atom
space group: Cmm2, No. 35

Cell: 2.645 2.645 8.982 Å, 90.00 90.00 117.94°
Positions (direct):
Ni: 0.000 0.000 0.000
Os: 0.500 0.500 0.242
Ru: 0.000 0.000 0.501
Ru: 0.500 0.500 0.757

---

# Mn2Re2P

Mn2Re2P after structural relaxation (PBE-GGA, the Alexandria database).

Output
energy of formation from the pure elements: 38.5 kJ per mole of atoms
distance to the lowest polymorph of the same formula: 0.1758 eV per atom
space group: P4/mbm, No. 127

Cell: 7.096 7.096 2.760 Å, 90.00 90.00 90.00°
Positions (direct):
Mn: 0.135 0.365 0.000
Mn: 0.365 0.865 0.000
Mn: 0.635 0.135 0.000
Mn: 0.865 0.635 0.000
Re: 0.154 0.654 0.500
Re: 0.346 0.154 0.500
Re: 0.654 0.846 0.500
Re: 0.846 0.346 0.500
P: 0.000 0.000 0.500
P: 0.500 0.500 0.500

---

| no. | Fermi-level density of states (states/eV per cell) |
| --- | --- |
| 1 | 3.6 |
| 2 | 2.2 |
| 3 | 9.5 |
| 4 | 6.4 |
| 5 | 1.1 |
| 6 | 5.4 |
| 7 | 6.7 |
| 8 | 7.5 |